VASP calculation (PBE with a Hubbard U) on a relaxed Nd2Cr2O5 crystal.

Lattice parameters (Å, degrees): 3.9393 3.9393 7.2698 90.00 90.00 90.00
Closest atoms and distances in Å follow each position.
Element x y z (fractional)
Nd (0.0000, 0.0000, 0.0000)  8 O 2.60
Nd (0.0000, 0.0000, 0.5000)  12 O 2.76-2.79
Cr (0.5000, 0.5000, 0.2237)  5 O 1.97-2.01
Cr (0.5000, 0.5000, 0.7763)  5 O 1.97-2.01
O (0.0000, 0.5000, 0.2337)  2 Cr 1.97
O (0.0000, 0.5000, 0.7663)  2 Cr 1.97
O (0.5000, 0.0000, 0.2337)  2 Cr 1.97
O (0.5000, 0.0000, 0.7663)  2 Cr 1.97
O (0.5000, 0.5000, 0.5000)  2 Cr 2.01

Computed properties:
The calculation puts the total DFT energy (no corrections) at -70.88 eV/cell.